# 1
The following is a DFT calculation (PBE-GGA) of a relaxed ScSb2As crystal.

Lattice parameters (Å, degrees): 3.792 5.077 4.879 90.00 90.00 90.00
Fractional positions:
As1 0.000 0.500 0.500
Sb1 0.000 0.000 0.000
Sb2 0.500 0.500 0.000
Sc1 0.500 0.000 0.500

Computed properties:
V   94 Å³/cell
Calculated total energy   -20.16 eV per cell

# 2
The following is a DFT calculation (PBE-GGA) of a relaxed ScSbAs2 crystal.

Lattice parameters (Å, degrees): 5.826 5.826 4.165 88.83 88.83 38.87
Fractional positions:
As1 0.007 0.007 0.857
As2 0.267 0.267 0.379
Sb1 0.506 0.506 0.380
Sc1 0.720 0.720 0.884

Computed properties:
V   89 Å³/cell
Calculated total energy   -21.79 eV per cell

# 3
The following is a DFT calculation (PBE-GGA) of a relaxed ScSb2As crystal.

Lattice parameters (Å, degrees): 4.074 4.128 6.477 62.18 90.00 90.00
Fractional positions:
As1 0.500 0.750 0.750
Sb1 0.000 0.949 0.997
Sb2 0.000 0.551 0.503
Sc1 0.500 0.250 0.250

Computed properties:
V   96 Å³/cell
Calculated total energy   -20.33 eV per cell

# 4
The following is a DFT calculation (PBE-GGA) of a relaxed ScSbAs2 crystal.

Lattice parameters (Å, degrees): 5.502 5.502 5.502 138.82 128.17 68.25
Fractional positions:
As1 0.021 0.021 0.000
As2 0.479 0.479 0.000
Sb1 0.250 0.750 0.500
Sc1 0.750 0.250 0.500

Computed properties:
V   85 Å³/cell
Calculated total energy   -20.90 eV per cell